(1)
# EuAlCdGa (PBE, relaxed)
# * calculated formation energy: -0.234 eV/atom
data_EuAlCdGa
_space_group_name_H-M_alt 'F -4 3 m'
_space_group_IT_number 216
_space_group_name_Hall 'F -4 2 3'
_cell_length_a 7.113
_cell_length_b 7.113
_cell_length_c 7.113
_cell_angle_alpha 90.00
_cell_angle_beta 90.00
_cell_angle_gamma 90.00
loop_
_atom_site_label
_atom_site_fract_x
_atom_site_fract_y
_atom_site_fract_z
Eu1 0.000 0.000 0.000
Al1 0.000 0.000 0.500
Cd1 0.250 0.250 0.250
Ga1 0.250 0.250 0.750



(2)
# SrSiMo2 (PBE, relaxed)
# * formation energy without anion corrections: 80.8 kJ/mol of atoms
data_SrSiMo2
_space_group_name_H-M_alt 'C 1 2/m 1'
_space_group_IT_number 12
_cell_length_a 5.894
_cell_length_b 9.845
_cell_length_c 2.759
_cell_angle_alpha 90.00
_cell_angle_beta 112.51
_cell_angle_gamma 90.00
loop_
_space_group_symop_operation_xyz
'x,y,z'
'-x,-y,-z'
'-x,y,-z'
'x,-y,z'
'x+1/2,y+1/2,z'
'-x+1/2,-y+1/2,-z'
'-x+1/2,y+1/2,-z'
'x+1/2,-y+1/2,z'
loop_
_atom_site_label
_atom_site_fract_x
_atom_site_fract_y
_atom_site_fract_z
Sr1 0.000 0.000 0.000
Si1 0.000 0.500 0.000
Mo1 0.250 0.250 0.500



(3)
Computed, not measured: a relaxed structure of Sr2CdHPt at the PBE level of DFT.

Structure (CIF):
```
data_Sr2CdHPt
_space_group_name_H-M_alt 'P 4/m m m'
_space_group_IT_number 123
_space_group_name_Hall '-P 4 2'
_cell_length_a 5.518
_cell_length_b 5.518
_cell_length_c 3.785
_cell_angle_alpha 90.00
_cell_angle_beta 90.00
_cell_angle_gamma 90.00
loop_
_atom_site_label
_atom_site_fract_x
_atom_site_fract_y
_atom_site_fract_z
Sr1 0.000 0.500 0.000
Cd1 0.000 0.000 0.500
H1 0.500 0.500 0.000
Pt1 0.500 0.500 0.500
```



(4)
# AcNd2DyTm (PBE, relaxed)
# * calculated formation energy: 0.044 eV/atom
data_AcNd2DyTm
_space_group_name_H-M_alt 'P 1 21/m 1'
_space_group_IT_number 11
_cell_length_a 6.458
_cell_length_b 5.882
_cell_length_c 9.884
_cell_angle_alpha 90.00
_cell_angle_beta 109.01
_cell_angle_gamma 90.00
loop_
_space_group_symop_operation_xyz
'x,y,z'
'-x,-y,-z'
'-x,y+1/2,-z'
'x,-y+1/2,z'
loop_
_atom_site_label
_atom_site_fract_x
_atom_site_fract_y
_atom_site_fract_z
Ac1 0.231 0.250 0.301
Nd1 0.366 0.750 0.906
Nd2 0.427 0.250 0.700
Dy1 0.039 0.250 0.900
Tm1 0.160 0.750 0.501



(5)
# CrIrOs2 (PBE, relaxed)
# * calculated formation energy: 0.027 eV/atom
data_CrIrOs2
_space_group_name_H-M_alt 'C 1 m 1'
_space_group_IT_number 8
_cell_length_a 8.945
_cell_length_b 2.710
_cell_length_c 4.653
_cell_angle_alpha 90.00
_cell_angle_beta 100.33
_cell_angle_gamma 90.00
loop_
_space_group_symop_operation_xyz
'x,y,z'
'x,-y,z'
'x+1/2,y+1/2,z'
'x+1/2,-y+1/2,z'
loop_
_atom_site_label
_atom_site_fract_x
_atom_site_fract_y
_atom_site_fract_z
Cr1 0.000 0.000 0.000
Ir1 0.249 0.500 0.241
Os1 0.002 0.500 0.510
Os2 0.252 0.000 0.749



(6)
# Ag3Pb2 (PBE, relaxed)
# * calculated formation energy: 0.078 eV/atom
data_Ag3Pb2
_space_group_name_H-M_alt 'F d d 2'
_space_group_IT_number 43
_space_group_name_Hall 'F 2 -2d'
_cell_length_a 12.306
_cell_length_b 23.868
_cell_length_c 3.198
_cell_angle_alpha 90.00
_cell_angle_beta 90.00
_cell_angle_gamma 90.00
loop_
_atom_site_label
_atom_site_fract_x
_atom_site_fract_y
_atom_site_fract_z
Ag1 0.000 0.000 0.000
Ag2 0.069 0.288 0.747
Pb1 0.121 0.406 0.039



| no. | calculated total energy (eV/atom) |
| --- | --- |
| 1 | -4.72 |
| 2 | -6.35 |
| 3 | -3.24 |
| 4 | -4.50 |
| 5 | -10.21 |
| 6 | -3.12 |